## Tm2PuZr (PBE)

Data for crystalline Tm2PuZr at its relaxed geometry.

abc: 3.340 3.340 9.776
angles: 90.00 90.00 90.00
Sites, in units of the cell vectors:
1 Tm 0.000 0.000 0.235
2 Tm 0.000 0.000 0.765
3 Pu 0.500 0.500 0.500
4 Zr 0.500 0.500 0.000

- Crystal system: tetragonal
- ΔE to the lowest computed polymorph: 0 meV per atom
- Formation energy: 0.111 eV/atom
- Symmetry: P4/mmm
- N(E_F): 9.872 states/eV/cell

---

## RbPaS4 (PBE)

Data for crystalline RbPaS4 at its relaxed geometry.

abc: 4.399 4.399 8.470
angles: 90.00 90.00 90.00
Sites, in units of the cell vectors:
1 Rb 0.000 0.000 0.000
2 Pa 0.500 0.500 0.500
3 S 0.000 0.500 0.306
4 S 0.000 0.500 0.694
5 S 0.500 0.000 0.306
6 S 0.500 0.000 0.694

- Crystal system: tetragonal
- ΔE to the lowest computed polymorph: 135 meV per atom
- Raw formation energy: -6.51 eV/f.u.
- Symmetry: P4/mmm
- N(E_F): 1.989 states/eV/cell

---

## As4F (PBE)

Data for crystalline As4F at its relaxed geometry.

abc: 4.586 4.586 4.586
angles: 90.00 90.00 90.00
Sites, in units of the cell vectors:
1 As 0.000 0.000 0.000
2 As 0.000 0.500 0.500
3 As 0.500 0.000 0.500
4 As 0.500 0.500 0.000
5 F 0.500 0.500 0.500

- Crystal system: cubic
- Raw formation energy: 2.21 eV/f.u.
- Symmetry: Pm-3m
- N(E_F): 5.000 states/eV/cell

---

## La6Ir2RhAu (PBE)

Data for crystalline La6Ir2RhAu at its relaxed geometry.

abc: 7.355 7.357 7.977
angles: 90.04 117.43 119.94
Sites, in units of the cell vectors:
1 La 0.000 0.000 0.000
2 La 0.001 0.796 0.486
3 La 0.337 0.475 0.487
4 La 0.378 0.648 0.001
5 La 0.648 0.270 0.001
6 La 0.658 0.131 0.486
7 Ir 0.493 0.881 0.727
8 Ir 0.503 0.387 0.243
9 Rh 0.851 0.060 0.263
10 Au 0.858 0.563 0.774

- Crystal system: triclinic
- Formation energy: -0.654 eV/atom
- Symmetry: P1
- N(E_F): 7.223 states/eV/cell

---

## AsPRhAu2 (PBE)

Data for crystalline AsPRhAu2 at its relaxed geometry.

abc: 3.029 3.029 10.566
angles: 97.94 97.94 71.51
Sites, in units of the cell vectors:
1 As 0.000 0.000 0.000
2 P 0.119 0.119 0.313
3 Rh 0.699 0.699 0.178
4 Au 0.206 0.206 0.541
5 Au 0.897 0.897 0.753

- Crystal system: monoclinic
- ΔE to the lowest computed polymorph: 13 meV per atom
- Formation energy: -0.114 eV/atom
- Symmetry: Cm
- N(E_F): 1.421 states/eV/cell

---

## Si2HgRh (PBE)

Data for crystalline Si2HgRh at its relaxed geometry.

abc: 2.914 2.986 7.904
angles: 90.00 90.00 90.00
Sites, in units of the cell vectors:
1 Si 0.000 0.000 0.190
2 Si 0.000 0.000 0.810
3 Hg 0.000 0.500 0.500
4 Rh 0.500 0.500 0.000

- Crystal system: orthorhombic
- Raw formation energy: -0.23 eV/f.u.
- Symmetry: Pmmm
- N(E_F): 2.385 states/eV/cell

---

## ScTlBr2 (PBE)

Data for crystalline ScTlBr2 at its relaxed geometry.

abc: 10.343 10.343 10.343
angles: 160.48 160.42 27.78
Sites, in units of the cell vectors:
1 Sc 0.000 0.000 0.000
2 Tl 0.239 0.739 0.500
3 Br 0.569 0.569 0.000
4 Br 0.901 0.401 0.500

- Crystal system: orthorhombic
- ΔE to the lowest computed polymorph: 141 meV per atom
- Raw formation energy: -3.58 eV/f.u.
- Symmetry: Imm2
- N(E_F): 2.592 states/eV/cell

---

## MnPOs2 (PBE)

Data for crystalline MnPOs2 at its relaxed geometry.

abc: 8.132 8.132 8.132
angles: 19.40 19.40 19.40
Sites, in units of the cell vectors:
1 Mn 0.000 0.000 0.000
2 P 0.740 0.740 0.740
3 Os 0.248 0.248 0.248
4 Os 0.485 0.485 0.485

- Crystal system: trigonal
- Formation energy: 0.055 eV/atom
- Symmetry: R3m
- N(E_F): 2.884 states/eV/cell

---

## CsTiP2Se8 (PBE)

Data for crystalline CsTiP2Se8 at its relaxed geometry.

abc: 6.406 6.406 10.141
angles: 90.00 90.00 120.00
Sites, in units of the cell vectors:
1 Cs 0.000 0.000 0.000
2 Ti 0.000 0.000 0.500
3 P 0.333 0.667 0.700
4 P 0.667 0.333 0.300
5 Se 0.013 0.670 0.364
6 Se 0.330 0.342 0.364
7 Se 0.333 0.667 0.913
8 Se 0.342 0.013 0.636
9 Se 0.658 0.987 0.364
10 Se 0.667 0.333 0.087
11 Se 0.670 0.658 0.636
12 Se 0.987 0.330 0.636

- Crystal system: trigonal
- Raw formation energy: -4.97 eV/f.u.
- Symmetry: P-3
- N(E_F): 9.665 states/eV/cell

---

## RbLi2Fe (PBE)

Data for crystalline RbLi2Fe at its relaxed geometry.

abc: 9.935 9.935 9.935
angles: 147.49 147.49 46.63
Sites, in units of the cell vectors:
1 Rb 0.000 0.000 0.000
2 Rb 0.750 0.250 0.500
3 Li 0.374 0.625 0.249
4 Li 0.375 0.624 0.749
5 Li 0.376 0.125 0.751
6 Li 0.875 0.626 0.251
7 Fe 0.250 0.750 0.500
8 Fe 0.500 0.500 0.000

- Crystal system: tetragonal
- ΔE to the lowest computed polymorph: 41 meV per atom
- Formation energy: 0.858 eV/atom
- Symmetry: I-42d
- N(E_F): 11.495 states/eV/cell

---

## AgCF2 (PBE)

Data for crystalline AgCF2 at its relaxed geometry.

abc: 5.077 5.077 3.634
angles: 105.85 105.85 51.96
Sites, in units of the cell vectors:
1 Ag 0.000 0.000 0.000
2 C 0.255 0.745 0.500
3 F 0.326 0.423 0.404
4 F 0.577 0.674 0.596

- Crystal system: monoclinic
- ΔE to the lowest computed polymorph: 50 meV per atom
- Raw formation energy: -1.66 eV/f.u.
- Symmetry: C2
- N(E_F): 1.725 states/eV/cell

---

## AcCe2WN5 (PBE)

Data for crystalline AcCe2WN5 at its relaxed geometry.

abc: 6.812 6.812 5.893
angles: 90.00 90.00 90.00
Sites, in units of the cell vectors:
1 Ac 0.000 0.000 0.000
2 Ac 0.500 0.500 0.000
3 Ce 0.172 0.328 0.500
4 Ce 0.328 0.828 0.500
5 Ce 0.672 0.172 0.500
6 Ce 0.828 0.672 0.500
7 W 0.000 0.500 0.000
8 W 0.500 0.000 0.000
9 N 0.000 0.000 0.500
10 N 0.143 0.643 0.239
11 N 0.143 0.643 0.761
12 N 0.357 0.143 0.239
13 N 0.357 0.143 0.761
14 N 0.500 0.500 0.500
15 N 0.643 0.857 0.239
16 N 0.643 0.857 0.761
17 N 0.857 0.357 0.239
18 N 0.857 0.357 0.761

- Crystal system: tetragonal
- Raw formation energy: -9.62 eV/f.u.
- Symmetry: P4/mbm